No. 1
Entry from Alexandria via LeMat-Bulk: a geometry-optimized Hg2TeSe structure (GGA-PBE).

The structure in POSCAR format:
```
Hg2TeSe
1.0
2.7640 -4.5114 0.0000
2.7640 4.5114 0.0000
0.0000 0.0000 4.7266
Hg Te Se
2 1 1
Cartesian
1.3820 2.2557 0.0000
1.3820 -2.2557 0.0000
0.0000 0.0000 2.3633
2.7640 0.0000 2.3633
```

Summary:
Magnetic moment in μB/cell: 0.0
D(E_F) in states/eV per atom: 0.62
Crystal system: orthorhombic
E_form (uncorrected) in meV per atom: 193
Excess energy over the best structure of this formula in the dataset in meV per atom: 379.2

---

No. 2
Entry from Alexandria via LeMat-Bulk: a geometry-optimized HgTeSe2 structure (GGA-PBE).

The structure in POSCAR format:
```
HgTeSe2
1.0
3.1331 0.0000 0.0000
0.0000 4.0812 0.0000
-0.2669 0.0000 8.8032
Hg Te Se
1 1 2
Cartesian
0.0000 0.0000 0.0000
-0.1335 0.0000 4.4016
-0.1819 2.0406 6.3758
3.0481 2.0406 2.4275
```

Summary:
Magnetic moment in μB/cell: 0.0
D(E_F) in states/eV per atom: 0.31
Crystal system: monoclinic
E_form (uncorrected) in meV per atom: 70
Excess energy over the best structure of this formula in the dataset in meV per atom: 157.9